# HoTh2S4 PBE optimized geometry
# - Energy relative to the elements, uncorrected: -1.84 eV per atom
# - M_tot: 0.00 μB per formula unit
# - Fermi-level density of states: 17.6 states/eV/cell
# - Volume: 683.1 Å³/cell
# - Theoretical density: 7.36 g cm⁻³
data_HoTh2S4
_space_group_name_H-M_alt 'C m c m'
_space_group_IT_number 63
_space_group_name_Hall '-C 2c 2'
_cell_length_a 3.821
_cell_length_b 13.219
_cell_length_c 13.523
_cell_angle_alpha 90.00
_cell_angle_beta 90.00
_cell_angle_gamma 90.00
loop_
_atom_site_label
_atom_site_type_symbol
_atom_site_fract_x
_atom_site_fract_y
_atom_site_fract_z
_atom_site_occupancy
Ho1 Ho 0.000 0.122 0.250 1
Th1 Th 0.000 0.360 0.068 1
S1 S 0.000 0.000 0.000 1
S2 S 0.000 0.287 0.631 1
S3 S 0.000 0.470 0.250 1